No. 1
Below is CdPdIN2 after structural relaxation, with properties calculated at the PBE level.

Geometry as POSCAR:
```
CdPdIN2
1.0
4.223 0.000 0.000
0.000 4.223 0.000
0.000 0.000 6.639
Cd Pd I N
1 1 1 2
Direct
0.000 0.000 0.000
0.500 0.500 0.500
0.000 0.000 0.500
0.000 0.500 0.000
0.500 0.000 0.000
```

E_form (uncorrected)   1.67 eV/atom
Crystal system   tetragonal
ΔE to the lowest computed polymorph   305 meV per atom

No. 2
Below is CdPtIN2 after structural relaxation, with properties calculated at the PBE level.

Geometry as POSCAR:
```
CdPtIN2
1.0
4.021 0.000 0.000
0.000 4.021 0.000
0.000 0.000 6.732
Cd Pt I N
1 1 1 2
Direct
0.000 0.000 0.000
0.500 0.500 0.500
0.000 0.000 0.500
0.000 0.500 0.000
0.500 0.000 0.000
```

E_form (uncorrected)   1.90 eV/atom
Crystal system   tetragonal
ΔE to the lowest computed polymorph   803 meV per atom

No. 3
Below is CdPtI2N after structural relaxation, with properties calculated at the PBE level.

Geometry as POSCAR:
```
CdPtI2N
1.0
5.887 0.000 0.000
0.000 5.887 0.000
0.000 0.000 4.177
Cd Pt I N
1 1 2 1
Direct
0.000 0.000 0.000
0.500 0.500 0.500
0.000 0.500 0.000
0.500 0.000 0.000
0.000 0.000 0.500
```

E_form (uncorrected)   1.31 eV/atom
Crystal system   tetragonal
ΔE to the lowest computed polymorph   918 meV per atom

No. 4
Below is CdPtIN2 after structural relaxation, with properties calculated at the PBE level.

Geometry as POSCAR:
```
CdPtIN2
1.0
3.937 0.000 0.000
0.000 3.937 0.000
0.000 0.000 7.910
Cd Pt I N
1 1 1 2
Direct
0.000 0.000 0.000
0.500 0.500 0.500
0.500 0.500 0.000
0.000 0.500 0.500
0.500 0.000 0.500
```

E_form (uncorrected)   1.10 eV/atom
Crystal system   tetragonal
ΔE to the lowest computed polymorph   0 meV per atom